(1)
Compound: YHgAu
Source: the Alexandria database
Functional: SCAN
Structure: single point on PBEsol structure

```
3
Lattice="-3.274 0.522 0.249 -0.665 -2.181 -4.164 -0.092 -2.504 4.032" Properties=species:S:1:pos:R:3 pbc="T T T"
Au 0.000 0.000 0.000
Hg -0.283 -2.396 1.300
Y -2.111 -2.027 -1.307
```

- M_tot: 0.00 μB/f.u.
- Crystal system: hexagonal
- Total DFT energy (no corrections): -167.65 eV per cell

***

(2)
Compound: Zn2HgAu
Source: the Alexandria database
Functional: SCAN
Structure: single point on PBEsol structure

```
4
Lattice="4.555 0.000 0.000 2.277 3.944 0.000 2.277 1.315 3.719" Properties=species:S:1:pos:R:3 pbc="T T T"
Zn 0.000 0.000 0.000
Zn 6.832 3.944 2.789
Hg 2.277 1.315 0.930
Au 4.555 2.630 1.859
```

- M_tot: 0.00 μB/f.u.
- Crystal system: cubic
- Total DFT energy (no corrections): -163.93 eV per cell